(1)
Here is a geometry-optimized CrSi2Ag structure from Alexandria via LeMat-Bulk. Energies are from PBEsol.

Values from the calculation:
Distance to the lowest polymorph of the same formula   41 meV/atom
Final energy   -48.11 eV/cell
ΔE_f (raw)   24.0 kJ per mole of atoms

The structure in CIF format:
```
data_CrSi2Ag
_cell_length_a 5.806
_cell_length_b 6.839
_cell_length_c 2.784
_cell_angle_alpha 90.00
_cell_angle_beta 90.00
_cell_angle_gamma 90.00
_symmetry_space_group_name_H-M 'C m m m'
_symmetry_Int_Tables_number 65
_symmetry_space_group_name_Hall '-C 2 2'
loop_
_atom_site_label
_atom_site_fract_x
_atom_site_fract_y
_atom_site_fract_z
Cr1 0.000 0.000 0.000
Si1 0.250 0.250 0.500
Ag1 0.000 0.500 0.000
```



(2)
Here is a geometry-optimized MnOs3 structure from Alexandria via LeMat-Bulk. Energies are from PBEsol.

Values from the calculation:
Final energy   -93.00 eV/cell
DFT formation energy   -0.023 eV/atom

The structure in CIF format:
```
data_MnOs3
_cell_length_a 5.3609
_cell_length_b 5.3609
_cell_length_c 4.2157
_cell_angle_alpha 90.00
_cell_angle_beta 90.00
_cell_angle_gamma 120.00
_symmetry_space_group_name_H-M 'P 63/m m c'
_symmetry_Int_Tables_number 194
_symmetry_space_group_name_Hall '-P 6c 2c'
loop_
_atom_site_label
_atom_site_fract_x
_atom_site_fract_y
_atom_site_fract_z
Mn1 0.3333 0.6667 0.2500
Os1 0.1707 0.3413 0.7500
```



(3)
Here is a geometry-optimized MgSc2Re structure from Alexandria via LeMat-Bulk. Energies are from PBEsol.

Values from the calculation:
Final energy   -27.55 eV/cell
DFT formation energy   0.178 eV/atom

The structure in CIF format:
```
data_MgSc2Re
_cell_length_a 2.831
_cell_length_b 4.530
_cell_length_c 5.838
_cell_angle_alpha 90.00
_cell_angle_beta 90.00
_cell_angle_gamma 90.00
_symmetry_space_group_name_H-M 'P m m 2'
_symmetry_Int_Tables_number 25
loop_
_symmetry_equiv_pos_as_xyz
'x,y,z'
'-x,-y,z'
'-x,y,z'
'x,-y,z'
loop_
_atom_site_label
_atom_site_fract_x
_atom_site_fract_y
_atom_site_fract_z
Mg1 0.000 0.000 0.000
Sc1 0.000 0.000 0.465
Sc2 0.500 0.500 0.743
Re1 0.500 0.500 0.257
```



(4)
Here is a geometry-optimized Be3CdIr structure from Alexandria via LeMat-Bulk. Energies are from PBEsol.

Values from the calculation:
Final energy   -21.31 eV/cell
DFT formation energy   0.342 eV/atom

The structure in CIF format:
```
data_Be3CdIr
_cell_length_a 4.232
_cell_length_b 4.232
_cell_length_c 4.232
_cell_angle_alpha 90.00
_cell_angle_beta 90.00
_cell_angle_gamma 90.00
_symmetry_space_group_name_H-M 'P m -3 m'
_symmetry_Int_Tables_number 221
_symmetry_space_group_name_Hall '-P 4 2 3'
loop_
_atom_site_label
_atom_site_fract_x
_atom_site_fract_y
_atom_site_fract_z
Be1 0.000 0.000 0.500
Cd1 0.500 0.500 0.500
Ir1 0.000 0.000 0.000
```



(5)
Here is a geometry-optimized NiMo2Os structure from Alexandria via LeMat-Bulk. Energies are from PBEsol.

Values from the calculation:
Distance to the lowest polymorph of the same formula   225 meV/atom
Final energy   -164.32 eV/cell
DFT formation energy   0.207 eV/atom

The structure in CIF format:
```
data_NiMo2Os
_cell_length_a 6.053
_cell_length_b 6.053
_cell_length_c 6.053
_cell_angle_alpha 90.00
_cell_angle_beta 90.00
_cell_angle_gamma 90.00
_symmetry_space_group_name_H-M 'F -4 3 m'
_symmetry_Int_Tables_number 216
_symmetry_space_group_name_Hall 'F -4 2 3'
loop_
_atom_site_label
_atom_site_fract_x
_atom_site_fract_y
_atom_site_fract_z
Ni1 0.000 0.000 0.000
Mo1 0.000 0.000 0.500
Mo2 0.250 0.250 0.250
Os1 0.250 0.250 0.750
```



(6)
Here is a geometry-optimized YNiMo2 structure from Alexandria via LeMat-Bulk. Energies are from PBEsol.

Values from the calculation:
Distance to the lowest polymorph of the same formula   231 meV/atom
Final energy   -135.61 eV/cell
DFT formation energy   0.654 eV/atom

The structure in CIF format:
```
data_YNiMo2
_cell_length_a 6.319
_cell_length_b 6.319
_cell_length_c 6.319
_cell_angle_alpha 90.00
_cell_angle_beta 90.00
_cell_angle_gamma 90.00
_symmetry_space_group_name_H-M 'F m -3 m'
_symmetry_Int_Tables_number 225
_symmetry_space_group_name_Hall '-F 4 2 3'
loop_
_atom_site_label
_atom_site_fract_x
_atom_site_fract_y
_atom_site_fract_z
Y1 0.000 0.000 0.000
Ni1 0.000 0.000 0.500
Mo1 0.250 0.250 0.250
```



(7)
Here is a geometry-optimized BaCuPt2 structure from Alexandria via LeMat-Bulk. Energies are from PBEsol.

Values from the calculation:
Distance to the lowest polymorph of the same formula   473 meV/atom
Final energy   -20.17 eV/cell
DFT formation energy   0.059 eV/atom

The structure in CIF format:
```
data_BaCuPt2
_cell_length_a 4.202
_cell_length_b 4.202
_cell_length_c 4.305
_cell_angle_alpha 90.00
_cell_angle_beta 90.00
_cell_angle_gamma 90.00
_symmetry_space_group_name_H-M 'P 4/m m m'
_symmetry_Int_Tables_number 123
_symmetry_space_group_name_Hall '-P 4 2'
loop_
_atom_site_label
_atom_site_fract_x
_atom_site_fract_y
_atom_site_fract_z
Ba1 0.000 0.000 0.000
Cu1 0.500 0.500 0.000
Pt1 0.000 0.500 0.500
```



(8)
Here is a geometry-optimized Sr2HgRh2 structure from Alexandria via LeMat-Bulk. Energies are from PBEsol.

Values from the calculation:
Final energy   -40.63 eV/cell
DFT formation energy   0.042 eV/atom

The structure in CIF format:
```
data_Sr2HgRh2
_cell_length_a 5.728
_cell_length_b 5.728
_cell_length_c 7.810
_cell_angle_alpha 90.00
_cell_angle_beta 90.00
_cell_angle_gamma 90.00
_symmetry_space_group_name_H-M 'I 4/m m m'
_symmetry_Int_Tables_number 139
_symmetry_space_group_name_Hall '-I 4 2'
loop_
_atom_site_label
_atom_site_fract_x
_atom_site_fract_y
_atom_site_fract_z
Sr1 0.000 0.500 0.250
Hg1 0.000 0.000 0.000
Rh1 0.000 0.000 0.342
```



(9)
Here is a geometry-optimized LiFeSi2 structure from Alexandria via LeMat-Bulk. Energies are from PBEsol.

Values from the calculation:
Distance to the lowest polymorph of the same formula   0 meV/atom
Final energy   -95.08 eV/cell
ΔE_f (raw)   -32.5 kJ per mole of atoms

The structure in CIF format:
```
data_LiFeSi2
_cell_length_a 5.550
_cell_length_b 5.550
_cell_length_c 5.550
_cell_angle_alpha 90.00
_cell_angle_beta 90.00
_cell_angle_gamma 90.00
_symmetry_space_group_name_H-M 'F m -3 m'
_symmetry_Int_Tables_number 225
_symmetry_space_group_name_Hall '-F 4 2 3'
loop_
_atom_site_label
_atom_site_fract_x
_atom_site_fract_y
_atom_site_fract_z
Li1 0.000 0.000 0.000
Fe1 0.000 0.000 0.500
Si1 0.250 0.250 0.250
```



(10)
Here is a geometry-optimized Sr3TlCr structure from Alexandria via LeMat-Bulk. Energies are from PBEsol.

Values from the calculation:
Final energy   -15.51 eV/cell
DFT formation energy   0.576 eV/atom

The structure in CIF format:
```
data_Sr3TlCr
_cell_length_a 5.906
_cell_length_b 5.906
_cell_length_c 5.906
_cell_angle_alpha 90.00
_cell_angle_beta 90.00
_cell_angle_gamma 90.00
_symmetry_space_group_name_H-M 'P m -3 m'
_symmetry_Int_Tables_number 221
_symmetry_space_group_name_Hall '-P 4 2 3'
loop_
_atom_site_label
_atom_site_fract_x
_atom_site_fract_y
_atom_site_fract_z
Sr1 0.000 0.000 0.500
Tl1 0.500 0.500 0.500
Cr1 0.000 0.000 0.000
```



(11)
Here is a geometry-optimized TiGa2Os structure from Alexandria via LeMat-Bulk. Energies are from PBEsol.

Values from the calculation:
Final energy   -113.39 eV/cell
DFT formation energy   -0.283 eV/atom

The structure in CIF format:
```
data_TiGa2Os
_cell_length_a 6.105
_cell_length_b 6.105
_cell_length_c 6.105
_cell_angle_alpha 90.00
_cell_angle_beta 90.00
_cell_angle_gamma 90.00
_symmetry_space_group_name_H-M 'F m -3 m'
_symmetry_Int_Tables_number 225
_symmetry_space_group_name_Hall '-F 4 2 3'
loop_
_atom_site_label
_atom_site_fract_x
_atom_site_fract_y
_atom_site_fract_z
Ti1 0.000 0.000 0.000
Ga1 0.250 0.250 0.250
Os1 0.000 0.000 0.500
```



(12)
Here is a geometry-optimized CoIr2Os structure from Alexandria via LeMat-Bulk. Energies are from PBEsol.

Values from the calculation:
Distance to the lowest polymorph of the same formula   41 meV/atom
Final energy   -118.08 eV/cell
DFT formation energy   0.060 eV/atom

The structure in CIF format:
```
data_CoIr2Os
_cell_length_a 2.6804
_cell_length_b 2.6804
_cell_length_c 25.6153
_cell_angle_alpha 90.00
_cell_angle_beta 90.00
_cell_angle_gamma 120.00
_symmetry_space_group_name_H-M 'R -3 m'
_symmetry_Int_Tables_number 166
_symmetry_space_group_name_Hall '-R 3 2"'
loop_
_atom_site_label
_atom_site_fract_x
_atom_site_fract_y
_atom_site_fract_z
Co1 0.0000 0.0000 0.0000
Ir1 0.0000 0.0000 0.2526
Os1 0.0000 0.0000 0.5000
```



Values for Fermi-level density of states, states/eV/atom, ordered as above
0.74; 0.84; 0.91; 0.32; 1.25; 1.19; 0.27; 1.24; 0.46; 1.00; 0.54; 1.05